A plane-wave DFT calculation with GGA-PBE was carried out for crystalline La3GeICl at its relaxed geometry.

Structure (extended XYZ):
```
12
Lattice="9.312 0.000 0.000 0.000 4.351 0.000 -0.312 0.000 10.181" Properties=species:S:1:pos:R:3 pbc="T T T"
La 0.707 1.088 3.538
La 1.246 1.088 9.474
La 3.143 3.263 6.433
La 5.857 1.088 3.748
La 7.754 3.263 0.707
La 8.293 3.263 6.643
Ge 1.098 1.088 6.537
Ge 7.901 3.263 3.644
I 3.294 3.263 3.101
I 5.706 1.088 7.080
Cl 3.145 3.263 9.359
Cl 5.855 1.088 0.822
```

Output
Its formation energy (no corrections) is -1.180 eV per atom. The total magnetization comes out at 0.1958 μB/atom.